Here is an optimized crystal structure of Sr2MnBe from Alexandria. Energies are from GGA-PBE.

Cell lengths 3.7394, 5.1710, 11.4214 Å; angles 90.00, 90.00, 90.00 degrees
Closest atoms and distances in Å follow each position.
Element x y z (fractional)
Sr (0.0000, 0.0000, 0.0000)  4 Mn 3.39, 6 Sr 3.54-3.79, 4 Be 3.63-3.67
Sr (0.0000, 0.5000, 0.2114)  4 Be 3.28, 2 Mn 3.37, 2 Sr 3.54
Sr (0.5000, 0.0000, 0.7114)  4 Be 3.28, 2 Mn 3.37, 2 Sr 3.54
Sr (0.5000, 0.5000, 0.5000)  4 Mn 3.39, 6 Sr 3.54-3.79, 4 Be 3.63-3.67
Mn (0.0000, 0.0000, 0.4008)  2 Be 2.34
Mn (0.5000, 0.5000, 0.9008)  2 Be 2.34
Be (0.0000, 0.5000, 0.7768)  2 Mn 2.34
Be (0.5000, 0.0000, 0.2768)  2 Mn 2.34

N(E_F) = 4.04 states/eV/f.u.
ΔE_f = 494 meV per atom

Here is an optimized crystal structure of TaMnBe3 from Alexandria. Energies are from GGA-PBE.

Cell lengths 3.8572, 3.8572, 3.8572 Å; angles 90.00, 90.00, 90.00 degrees
Closest atoms and distances in Å follow each position.
Element x y z (fractional)
Ta (0.0000, 0.0000, 0.0000)  12 Be 2.73
Mn (0.5000, 0.5000, 0.5000)  6 Be 1.93
Be (0.0000, 0.5000, 0.5000)  2 Mn 1.93
Be (0.5000, 0.0000, 0.5000)  2 Mn 1.93
Be (0.5000, 0.5000, 0.0000)  2 Mn 1.93

N(E_F) = 3.82 states/eV/f.u.
ΔE to the lowest computed polymorph = 0 meV/atom
ΔE_f = 540 meV per atom

Here is an optimized crystal structure of TaMn3Be from Alexandria. Energies are from GGA-PBE.

Cell lengths 3.9570, 3.9570, 3.9570 Å; angles 90.00, 90.00, 90.00 degrees
Closest atoms and distances in Å follow each position.
Element x y z (fractional)
Ta (0.0000, 0.0000, 0.0000)  12 Mn 2.80
Mn (0.0000, 0.5000, 0.5000)  2 Be 1.98
Mn (0.5000, 0.0000, 0.5000)  2 Be 1.98
Mn (0.5000, 0.5000, 0.0000)  2 Be 1.98
Be (0.5000, 0.5000, 0.5000)  6 Mn 1.98

N(E_F) = 3.93 states/eV/f.u.
ΔE to the lowest computed polymorph = 0 meV/atom
ΔE_f = 378 meV per atom

Here is an optimized crystal structure of TaMn3Be from Alexandria. Energies are from GGA-PBE.

Cell lengths 4.6156, 4.6156, 4.6156 Å; angles 90.00, 90.00, 90.00 degrees
Closest atoms and distances in Å follow each position.
Element x y z (fractional)
Ta (0.0000, 0.0000, 0.0000)  6 Mn 2.31
Mn (0.0000, 0.0000, 0.5000)  2 Ta 2.31
Mn (0.0000, 0.5000, 0.0000)  2 Ta 2.31
Mn (0.5000, 0.0000, 0.0000)  2 Ta 2.31
Be (0.5000, 0.5000, 0.5000)  12 Mn 3.26

N(E_F) = 4.43 states/eV/f.u.
ΔE to the lowest computed polymorph = 1298 meV/atom
ΔE_f = 1677 meV per atom

Here is an optimized crystal structure of Ta3MnBe from Alexandria. Energies are from GGA-PBE.

Cell lengths 4.3456, 4.3456, 4.3456 Å; angles 90.00, 90.00, 90.00 degrees
Closest atoms and distances in Å follow each position.
Element x y z (fractional)
Ta (0.0000, 0.0000, 0.5000)  2 Be 2.17
Ta (0.0000, 0.5000, 0.0000)  2 Be 2.17
Ta (0.5000, 0.0000, 0.0000)  2 Be 2.17
Mn (0.5000, 0.5000, 0.5000)  12 Ta 3.07
Be (0.0000, 0.0000, 0.0000)  6 Ta 2.17

N(E_F) = 11.15 states/eV/f.u.
ΔE to the lowest computed polymorph = 0 meV/atom
ΔE_f = 854 meV per atom

Here is an optimized crystal structure of Ta2MnBe2 from Alexandria. Energies are from GGA-PBE.

Cell lengths 3.6983, 3.6983, 10.3404 Å; angles 90.00, 90.00, 90.00 degrees
Closest atoms and distances in Å follow each position.
Element x y z (fractional)
Ta (0.0000, 0.5000, 0.2500)  4 Be 2.48, 4 Ta 2.62
Ta (0.0000, 0.5000, 0.7500)  4 Be 2.48, 4 Ta 2.62
Ta (0.5000, 0.0000, 0.2500)  4 Be 2.48, 4 Ta 2.62
Ta (0.5000, 0.0000, 0.7500)  4 Be 2.48, 4 Ta 2.62
Mn (0.0000, 0.0000, 0.0000)  8 Be 2.78
Mn (0.5000, 0.5000, 0.5000)  8 Be 2.78
Be (0.0000, 0.0000, 0.4095)  1 Be 1.87
Be (0.0000, 0.0000, 0.5905)  1 Be 1.87
Be (0.5000, 0.5000, 0.0905)  1 Be 1.87
Be (0.5000, 0.5000, 0.9095)  1 Be 1.87

N(E_F) = 6.43 states/eV/f.u.
ΔE to the lowest computed polymorph = 858 meV/atom
ΔE_f = 632 meV per atom